# Er5Th5Sc2 | Alexandria | PBE | relaxed
# VASP energy: -5.967 eV per atom
# energy relative to the elements: 0.081 eV per atom
# energy above the most stable polymorph in this dataset: 0.34 eV per formula unit
data_Er5Th5Sc2
_chemical_formula_sum 'Er5 Th5 Sc2'
_cell_length_a 6.5140
_cell_length_b 6.5140
_cell_length_c 11.8468
_cell_angle_alpha 106.87
_cell_angle_beta 106.87
_cell_angle_gamma 50.32
_symmetry_space_group_name_H-M 'P 1'
_symmetry_Int_Tables_number 1
_symmetry_space_group_name_Hall 'P 1'
loop_
_atom_site_label
_atom_site_type_symbol
_atom_site_fract_x
_atom_site_fract_y
_atom_site_fract_z
_atom_site_occupancy
Er1 Er 0.0000 0.0000 0.0000 1
Er2 Er 0.0419 0.0419 0.7144 1
Er3 Er 0.2062 0.2062 0.5412 1
Er4 Er 0.7938 0.7938 0.4588 1
Er5 Er 0.9581 0.9581 0.2856 1
Th1 Th 0.2503 0.2503 0.2530 1
Th2 Th 0.3001 0.3001 0.9641 1
Th3 Th 0.5000 0.5000 0.5000 1
Th4 Th 0.6999 0.6999 0.0359 1
Th5 Th 0.7497 0.7497 0.7470 1
Sc1 Sc 0.4531 0.4531 0.7851 1
Sc2 Sc 0.5469 0.5469 0.2149 1